{
  "formula": "AcAl2CdPd4",
  "functional": "PBE",
  "state": "relaxed",
  "lattice_angstrom": [[-0.9651, 4.0398, 1.2929], [-2.6099, 0.6228, 3.4240], [6.3389, 1.5137, 7.3199]],
  "species": ["Ac", "Al", "Al", "Cd", "Pd", "Pd", "Pd", "Pd"],
  "fractional_positions": [[0.0000, 0.0000, 0.0000], [0.7647, 0.7647, 0.7060], [0.2353, 0.2353, 0.2940], [0.5000, 0.5000, 0.5000], [0.4030, 0.4030, 0.7909], [0.8769, 0.8769, 0.3692], [0.1231, 0.1231, 0.6308], [0.5970, 0.5970, 0.2091]],
  "delta_e_f_ev_per_atom": -0.695,
  "energy_ev_per_atom": -4.855,
  "magnetic_moment_mub_per_fu": 0.00,
  "sg": "R-3m, No. 166",
  "dos_ef_per_ev_atom": 0.466
}



{
  "formula": "Nd12DyTl3",
  "functional": "PBE",
  "state": "relaxed",
  "lattice_angstrom": [[5.0034, 0.0000, 0.0000], [0.0000, 5.0034, 0.0000], [0.0000, 0.0000, 20.4505]],
  "species": ["Nd", "Nd", "Nd", "Nd", "Nd", "Nd", "Nd", "Nd", "Nd", "Nd", "Nd", "Nd", "Dy", "Tl", "Tl", "Tl"],
  "fractional_positions": [[0.5000, 0.5000, 0.0000], [0.5000, 0.5000, 0.2541], [0.5000, 0.5000, 0.5000], [0.5000, 0.5000, 0.7459], [0.5000, 0.0000, 0.1303], [0.5000, 0.0000, 0.3769], [0.5000, 0.0000, 0.6231], [0.5000, 0.0000, 0.8697], [0.0000, 0.5000, 0.1303], [0.0000, 0.5000, 0.3769], [0.0000, 0.5000, 0.6231], [0.0000, 0.5000, 0.8697], [0.0000, 0.0000, 0.0000], [0.0000, 0.0000, 0.2562], [0.0000, 0.0000, 0.5000], [0.0000, 0.0000, 0.7438]],
  "delta_e_f_ev_per_atom": -0.145,
  "energy_ev_per_atom": -4.453,
  "magnetic_moment_mub_per_fu": 0.00,
  "sg": "P4/mmm, No. 123",
  "dos_ef_per_ev_atom": 1.422
}